(1)
Density functional theory data (PBE) for crystalline Dy3Ho2TmAs2Os at its relaxed geometry.

Computed properties:
Its crystal system is orthorhombic. As for the total energy: -6.087 eV/atom.

Lattice parameters (Å, degrees): 4.1435 13.5679 7.8745 90.00 90.00 90.00
Closest atoms and distances in Å follow each position.
Space group Amm2 (No. 38)
Inequivalent atoms, fractional coordinates:
Dy 0.0000 0.0000 0.0000 (multiplicity 2)  4 As 3.14, 1 Os 3.24, 2 Tm 3.43, 4 Ho 3.47
Dy 0.0000 0.2021 0.6089 (multiplicity 4)  1 Os 3.15, 4 As 3.17, 4 Ho 3.45-3.46, 2 Tm 3.45
Ho 0.5000 0.1221 0.2845 (multiplicity 4)  2 Os 2.84, 2 As 3.04
Tm 0.5000 0.0000 0.6523 (multiplicity 2)  2 Os 2.81, 2 As 3.01
As 0.5000 0.1656 0.9063 (multiplicity 4)  1 Tm 3.01, 2 Ho 3.04, 6 Dy 3.14-3.17
Os 0.0000 0.0000 0.4119 (multiplicity 2)  2 Tm 2.81, 4 Ho 2.84

---

(2)
Density functional theory data (PBE) for crystalline Dy2YHo3As2Os at its relaxed geometry.

Computed properties:
Its crystal system is orthorhombic. As for the total energy: -6.299 eV/atom.

Lattice parameters (Å, degrees): 4.1477 13.5906 7.8939 90.00 90.00 90.00
Closest atoms and distances in Å follow each position.
Space group Amm2 (No. 38)
Inequivalent atoms, fractional coordinates:
Dy 0.0000 0.2024 0.0000 (multiplicity 4)  4 As 3.17, 1 Os 3.18, 6 Ho 3.44-3.47
Y 0.0000 0.0000 0.3915 (multiplicity 2)  4 As 3.15, 1 Os 3.21, 6 Ho 3.45-3.48
Ho 0.5000 0.0000 0.0420 (multiplicity 2)  2 Os 2.83, 2 As 3.03
Ho 0.5000 0.1228 0.6753 (multiplicity 4)  2 Os 2.83, 2 As 3.03-3.04
As 0.5000 0.1662 0.2978 (multiplicity 4)  3 Ho 3.03-3.04, 2 Y 3.15, 4 Dy 3.17
Os 0.0000 0.0000 0.7986 (multiplicity 2)  6 Ho 2.83

---

(3)
Density functional theory data (PBE) for crystalline DyHoAs2Pt2 at its relaxed geometry.

Computed properties:
The value obtained for the polymorph energy (0 for the lowest one) is 0.0000 eV/atom. Its crystal system is hexagonal. As for the total energy: -6.327 eV/atom.

Lattice parameters (Å, degrees): 4.2888 4.2888 15.1827 90.00 90.00 120.00
Closest atoms and distances in Å follow each position.
Space group P6_3/mmc (No. 194)
Inequivalent atoms, fractional coordinates:
Dy 0.0000 0.0000 0.0000 (multiplicity 2)  6 As 3.03, 6 Pt 3.23
Ho 0.0000 0.0000 0.2500 (multiplicity 2)  6 Pt 3.02, 6 As 3.21
As 0.3333 0.6667 0.1155 (multiplicity 4)  3 Pt 2.50
Pt 0.3333 0.6667 0.6366 (multiplicity 4)  3 As 2.50

---

(4)
Density functional theory data (PBE) for crystalline DyHoTe2As2 at its relaxed geometry.

Computed properties:
Its crystal system is tetragonal. As for the total energy: -5.268 eV/atom.

Lattice parameters (Å, degrees): 4.0698 4.0698 9.0350 90.00 90.00 90.00
Closest atoms and distances in Å follow each position.
Space group P4mm (No. 99)
Inequivalent atoms, fractional coordinates:
Dy 0.0000 0.0000 0.0000 (multiplicity 1)  4 As 3.07, 5 Te 3.08-3.37
Ho 0.5000 0.5000 0.4922 (multiplicity 1)  4 As 3.06, 5 Te 3.07-3.35
Te 0.0000 0.0000 0.3725 (multiplicity 1)  4 Ho 3.07, 1 Dy 3.37
Te 0.5000 0.5000 0.1213 (multiplicity 1)  4 Dy 3.08, 1 Ho 3.35
As 0.0000 0.5000 0.7457 (multiplicity 2)  4 As 2.88, 2 Ho 3.06, 2 Dy 3.07

---

(5)
Density functional theory data (PBE) for crystalline DyInAs at its relaxed geometry.

Computed properties:
Its crystal system is cubic. As for the total energy: -4.256 eV/atom.

Lattice parameters (Å, degrees): 6.9709 6.9709 6.9709 90.00 90.00 90.00
Closest atoms and distances in Å follow each position.
Space group F-43m (No. 216)
Inequivalent atoms, fractional coordinates:
Dy 0.0000 0.0000 0.0000 (multiplicity 4)  4 As 3.02, 4 In 3.02
In 0.2500 0.2500 0.2500 (multiplicity 4)  4 Dy 3.02
As 0.2500 0.2500 0.7500 (multiplicity 4)  4 Dy 3.02

---

(6)
Density functional theory data (PBE) for crystalline DyAs2Ir8 at its relaxed geometry.

Computed properties:
Its crystal system is monoclinic. As for the total energy: -7.910 eV/atom.

Lattice parameters (Å, degrees): 11.7834 3.9652 9.2638 90.00 125.63 90.00
Closest atoms and distances in Å follow each position.
Space group C2/m (No. 12)
Inequivalent atoms, fractional coordinates:
Dy 0.0000 0.0000 0.0000 (multiplicity 2)  4 As 3.00, 6 Ir 3.13-3.32
As 0.0654 0.5000 0.8145 (multiplicity 4)  5 Ir 2.32-2.47
Ir 0.0326 0.0000 0.3805 (multiplicity 4)  2 As 2.47, 2 Ir 2.68-2.73
Ir 0.1581 0.5000 0.6375 (multiplicity 4)  1 As 2.44, 4 Ir 2.67-2.72
Ir 0.1915 0.5000 0.3663 (multiplicity 4)  1 As 2.46, 4 Ir 2.67-2.73
Ir 0.2447 0.5000 0.1158 (multiplicity 4)  1 As 2.32